## SiRu (PBE)

Data for a geometry-optimized SiRu structure.

Computed properties:
- Raw formation energy: -342 meV per atom
- Magnetic moment: 0.0 Bohr magnetons per cell

CIF file:
```
data_SiRu
_chemical_formula_sum 'Si6 Ru6'
_symmetry_space_group_name_H-M 'P m n 21'
_symmetry_Int_Tables_number 31
_symmetry_space_group_name_Hall 'P 2ac -2'
_cell_length_a 7.306
_cell_length_b 4.407
_cell_length_c 5.352
_cell_angle_alpha 90.00
_cell_angle_beta 90.00
_cell_angle_gamma 90.00
loop_
_atom_site_label
_atom_site_fract_x
_atom_site_fract_y
_atom_site_fract_z
Si1 0.000 0.154 0.000
Si2 0.180 0.402 0.557
Ru1 0.000 0.625 0.217
Ru2 0.206 0.896 0.721
```



## PmSbSO2 (PBE)

Data for a geometry-optimized PmSbSO2 structure.

Computed properties:
- Raw formation energy: -2001 meV per atom
- Magnetic moment: 0.0 Bohr magnetons per cell

CIF file:
```
data_PmSbSO2
_chemical_formula_sum 'Pm2 Sb2 S2 O4'
_symmetry_space_group_name_H-M 'P 1 21/m 1'
_symmetry_Int_Tables_number 11
_symmetry_space_group_name_Hall '-P 2yb'
_cell_length_a 6.442
_cell_length_b 4.036
_cell_length_c 7.647
_cell_angle_alpha 90.00
_cell_angle_beta 105.18
_cell_angle_gamma 90.00
loop_
_atom_site_label
_atom_site_fract_x
_atom_site_fract_y
_atom_site_fract_z
Pm1 0.208 0.250 0.429
Sb1 0.178 0.250 0.910
S1 0.426 0.750 0.693
O1 0.015 0.750 0.351
O2 0.020 0.750 0.900
```



## Cs2RbNaF (PBE)

Data for a geometry-optimized Cs2RbNaF structure.

Computed properties:
- Raw formation energy: -995 meV per atom
- Magnetic moment: 0.0 Bohr magnetons per cell

CIF file:
```
data_Cs2RbNaF
_chemical_formula_sum 'Cs2 Rb1 Na1 F1'
_symmetry_space_group_name_H-M 'P 4/m m m'
_symmetry_Int_Tables_number 123
_symmetry_space_group_name_Hall '-P 4 2'
_cell_length_a 6.358
_cell_length_b 6.358
_cell_length_c 6.235
_cell_angle_alpha 90.00
_cell_angle_beta 90.00
_cell_angle_gamma 90.00
loop_
_atom_site_label
_atom_site_fract_x
_atom_site_fract_y
_atom_site_fract_z
Cs1 0.000 0.500 0.000
Rb1 0.000 0.000 0.500
Na1 0.500 0.500 0.500
F1 0.000 0.000 0.000
```



What did the second record say?
## PmSbSO2 (PBE)

Data for a geometry-optimized PmSbSO2 structure.

Computed properties:
- Raw formation energy: -2001 meV per atom
- Magnetic moment: 0.0 Bohr magnetons per cell

CIF file:
```
data_PmSbSO2
_chemical_formula_sum 'Pm2 Sb2 S2 O4'
_symmetry_space_group_name_H-M 'P 1 21/m 1'
_symmetry_Int_Tables_number 11
_symmetry_space_group_name_Hall '-P 2yb'
_cell_length_a 6.442
_cell_length_b 4.036
_cell_length_c 7.647
_cell_angle_alpha 90.00
_cell_angle_beta 105.18
_cell_angle_gamma 90.00
loop_
_atom_site_label
_atom_site_fract_x
_atom_site_fract_y
_atom_site_fract_z
Pm1 0.208 0.250 0.429
Sb1 0.178 0.250 0.910
S1 0.426 0.750 0.693
O1 0.015 0.750 0.351
O2 0.020 0.750 0.900
```